First-principles (GGA-PBE) data for a relaxed structure of Ca2MnSnSe4, as listed in the Alexandria database.

Output
Formation energy (no corrections)   -1.15 eV per atom
SG   P2/m
M_tot   5.0 Bohr magnetons per cell

Lattice parameters (Å, degrees): 7.168 4.159 7.248 90.00 109.44 90.00
Element x y z (fractional)
Ca 0.000 0.000 0.000
Ca 0.000 0.500 0.500
Mn 0.500 0.000 0.500
Sn 0.500 0.500 0.000
Se 0.254 0.000 0.736
Se 0.265 0.500 0.268
Se 0.735 0.500 0.732
Se 0.746 0.000 0.264

First-principles (GGA-PBE) data for a relaxed structure of Tb15Nd2Mg2, as listed in the Alexandria database.

Output
ΔH_f (0 K)   390 kJ/mol of formula units
SG   R-3m
M_tot   0.0 Bohr magnetons per cell
DOS at the Fermi energy   1.1880 states/eV/atom

Lattice parameters (Å, degrees): 8.649 8.649 8.649 81.13 81.13 81.13
Element x y z (fractional)
Tb 0.000 0.000 0.500
Tb 0.000 0.296 0.704
Tb 0.000 0.500 0.000
Tb 0.000 0.704 0.296
Tb 0.149 0.639 0.639
Tb 0.296 0.000 0.704
Tb 0.296 0.704 0.000
Tb 0.361 0.361 0.851
Tb 0.361 0.851 0.361
Tb 0.500 0.000 0.000
Tb 0.639 0.149 0.639
Tb 0.639 0.639 0.149
Tb 0.704 0.000 0.296
Tb 0.704 0.296 0.000
Tb 0.851 0.361 0.361
Nd 0.325 0.325 0.325
Nd 0.675 0.675 0.675
Mg 0.093 0.093 0.093
Mg 0.907 0.907 0.907

First-principles (GGA-PBE) data for a relaxed structure of SrTa2Hg, as listed in the Alexandria database.

Output
ΔH_f (0 K)   316 kJ/mol of formula units
SG   P4/mmm
M_tot   0.0 Bohr magnetons per cell
DOS at the Fermi energy   1.4156 states/eV/atom

Lattice parameters (Å, degrees): 2.997 2.997 10.055 90.00 90.00 90.00
Element x y z (fractional)
Sr 0.000 0.000 0.000
Ta 0.500 0.500 0.286
Ta 0.500 0.500 0.714
Hg 0.000 0.000 0.500

First-principles (GGA-PBE) data for a relaxed structure of Tb2CuAuO5, as listed in the Alexandria database.

Output
Formation energy (no corrections)   -1.82 eV per atom
SG   Cmc2_1
M_tot   0.1 Bohr magnetons per cell
DOS at the Fermi energy   0.3852 states/eV/atom

Lattice parameters (Å, degrees): 6.600 6.600 11.235 90.00 90.00 149.65
Element x y z (fractional)
Tb 0.072 0.928 0.500
Tb 0.185 0.815 0.074
Tb 0.815 0.185 0.574
Tb 0.928 0.072 0.000
Cu 0.246 0.754 0.837
Cu 0.754 0.246 0.337
Au 0.475 0.525 0.251
Au 0.525 0.475 0.751
O 0.098 0.902 0.878
O 0.246 0.754 0.481
O 0.356 0.644 0.128
O 0.396 0.604 0.859
O 0.444 0.556 0.585
O 0.556 0.444 0.085
O 0.604 0.396 0.359
O 0.644 0.356 0.628
O 0.754 0.246 0.981
O 0.902 0.098 0.378

First-principles (GGA-PBE) data for a relaxed structure of AgH2PtSe, as listed in the Alexandria database.

Output
DFT total energy   -3.7353 eV/atom
SG   P4/mmm
M_tot   0.0 Bohr magnetons per cell
DOS at the Fermi energy   0.1713 states/eV/atom

Lattice parameters (Å, degrees): 3.684 3.684 5.142 90.00 90.00 90.00
Element x y z (fractional)
Ag 0.000 0.000 0.000
H 0.000 0.500 0.500
H 0.500 0.000 0.500
Pt 0.500 0.500 0.500
Se 0.500 0.500 0.000

First-principles (GGA-PBE) data for a relaxed structure of CoRhPb, as listed in the Alexandria database.

Output
ΔH_f (0 K)   101 kJ/mol of formula units
SG   Imm2
M_tot   2.1 Bohr magnetons per cell
DOS at the Fermi energy   1.3424 states/eV/atom
Energy above the lowest structure with this stoichiometry   10 meV per atom

Lattice parameters (Å, degrees): 4.912 4.912 4.912 143.52 134.44 59.72
Element x y z (fractional)
Co 0.000 0.000 0.000
Rh 0.354 0.354 0.000
Pb 0.677 0.677 0.000

First-principles (GGA-PBE) data for a relaxed structure of BTe2I, as listed in the Alexandria database.

Output
Formation energy (no corrections)   0.50 eV per atom
SG   I-42d
M_tot   0.0 Bohr magnetons per cell
DOS at the Fermi energy   1.1935 states/eV/atom
Energy above the lowest structure with this stoichiometry   0 meV per atom

Lattice parameters (Å, degrees): 6.706 6.706 6.706 114.55 114.55 99.73
Element x y z (fractional)
B 0.000 0.000 0.000
B 0.750 0.250 0.500
Te 0.010 0.625 0.885
Te 0.375 0.260 0.385
Te 0.740 0.125 0.115
Te 0.875 0.990 0.615
I 0.250 0.750 0.500
I 0.500 0.500 0.000

First-principles (GGA-PBE) data for a relaxed structure of NdPaCrS6, as listed in the Alexandria database.

Output
Formation energy (no corrections)   -1.15 eV per atom
SG   P312
M_tot   2.0 Bohr magnetons per cell
DOS at the Fermi energy   0.5244 states/eV/atom

Lattice parameters (Å, degrees): 6.505 6.505 5.830 90.00 90.00 120.00
Element x y z (fractional)
Nd 0.000 0.000 0.000
Pa 0.667 0.333 0.500
Cr 0.333 0.667 0.000
S 0.025 0.383 0.244
S 0.025 0.642 0.756
S 0.358 0.383 0.756
S 0.358 0.975 0.244
S 0.617 0.642 0.244
S 0.617 0.975 0.756

First-principles (GGA-PBE) data for a relaxed structure of CaCdSi2, as listed in the Alexandria database.

Output
Formation energy (no corrections)   0.20 eV per atom
SG   F-43m
M_tot   0.0 Bohr magnetons per cell
DOS at the Fermi energy   0.5665 states/eV/atom

Lattice parameters (Å, degrees): 4.952 4.952 4.952 60.00 60.00 60.00
Element x y z (fractional)
Ca 0.000 0.000 0.000
Cd 0.750 0.750 0.750
Si 0.250 0.250 0.250
Si 0.500 0.500 0.500

First-principles (GGA-PBE) data for a relaxed structure of La6IrRh2N, as listed in the Alexandria database.

Output
Formation energy (no corrections)   -0.71 eV per atom
SG   P1
M_tot   0.0 Bohr magnetons per cell
DOS at the Fermi energy   0.5504 states/eV/atom

Lattice parameters (Å, degrees): 7.072 7.077 7.655 62.50 62.51 60.05
Element x y z (fractional)
La 0.000 0.000 0.000
La 0.128 0.529 0.484
La 0.320 0.283 0.000
La 0.462 0.808 0.484
La 0.604 0.680 0.999
La 0.848 0.143 0.484
Ir 0.723 0.403 0.756
Rh 0.410 0.090 0.693
Rh 0.897 0.577 0.231
N 0.217 0.898 0.272

First-principles (GGA-PBE) data for a relaxed structure of SiGeRh3, as listed in the Alexandria database.

Output
Formation energy (no corrections)   -0.60 eV per atom
SG   Cmce
M_tot   0.0 Bohr magnetons per cell
DOS at the Fermi energy   0.4136 states/eV/atom
Energy above the lowest structure with this stoichiometry   0 meV per atom

Lattice parameters (Å, degrees): 6.771 6.771 6.481 90.00 90.00 80.63
Element x y z (fractional)
Si 0.180 0.820 0.893
Si 0.320 0.680 0.393
Si 0.680 0.320 0.607
Si 0.820 0.180 0.107
Ge 0.158 0.342 0.750
Ge 0.342 0.158 0.250
Ge 0.658 0.842 0.750
Ge 0.842 0.658 0.250
Rh 0.013 0.694 0.596
Rh 0.076 0.924 0.223
Rh 0.194 0.513 0.096
Rh 0.306 0.987 0.596
Rh 0.424 0.576 0.723
Rh 0.487 0.806 0.096
Rh 0.513 0.194 0.904
Rh 0.576 0.424 0.277
Rh 0.694 0.013 0.404
Rh 0.806 0.487 0.904
Rh 0.924 0.076 0.777
Rh 0.987 0.306 0.404

First-principles (GGA-PBE) data for a relaxed structure of Zn2SiTe, as listed in the Alexandria database.

Output
Formation energy (no corrections)   0.17 eV per atom
SG   I-42d
M_tot   0.0 Bohr magnetons per cell
DOS at the Fermi energy   0.3342 states/eV/atom
Energy above the lowest structure with this stoichiometry   105 meV per atom

Lattice parameters (Å, degrees): 6.941 6.941 6.941 127.73 127.73 77.06
Element x y z (fractional)
Zn 0.092 0.625 0.967
Zn 0.375 0.342 0.467
Zn 0.658 0.125 0.033
Zn 0.875 0.908 0.533
Si 0.000 0.000 0.000
Si 0.750 0.250 0.500
Te 0.250 0.750 0.500
Te 0.500 0.500 0.000

First-principles (GGA-PBE) data for a relaxed structure of Nd3HoPa2N6, as listed in the Alexandria database.

Output
Formation energy (no corrections)   -1.60 eV per atom
SG   C2/m
M_tot   0.0 Bohr magnetons per cell
DOS at the Fermi energy   0.4317 states/eV/atom

Lattice parameters (Å, degrees): 6.147 6.147 6.215 99.47 99.47 120.03
Element x y z (fractional)
Nd 0.000 0.000 0.000
Nd 0.334 0.666 0.000
Nd 0.666 0.334 0.000
Ho 0.500 0.500 0.500
Pa 0.167 0.833 0.500
Pa 0.833 0.167 0.500
N 0.083 0.428 0.284
N 0.228 0.228 0.716
N 0.428 0.083 0.284
N 0.572 0.917 0.716
N 0.772 0.772 0.284
N 0.917 0.572 0.716

First-principles (GGA-PBE) data for a relaxed structure of CeYHgIr, as listed in the Alexandria database.

Output
ΔH_f (0 K)   -191 kJ/mol of formula units
SG   F-43m
M_tot   0.8 Bohr magnetons per cell
DOS at the Fermi energy   1.6488 states/eV/atom
Energy above the lowest structure with this stoichiometry   83 meV per atom

Lattice parameters (Å, degrees): 5.114 5.114 5.114 60.00 60.00 60.00
Element x y z (fractional)
Ce 0.000 0.000 0.000
Y 0.500 0.500 0.500
Hg 0.250 0.250 0.250
Ir 0.750 0.750 0.750

First-principles (GGA-PBE) data for a relaxed structure of Pr2NdMg2, as listed in the Alexandria database.

Output
ΔH_f (0 K)   -39 kJ/mol of formula units
SG   P2_1/m
M_tot   0.0 Bohr magnetons per cell
DOS at the Fermi energy   1.0973 states/eV/atom

Lattice parameters (Å, degrees): 3.894 5.607 14.451 90.00 97.79 90.00
Element x y z (fractional)
Pr 0.045 0.250 0.090
Pr 0.236 0.250 0.474
Pr 0.764 0.750 0.526
Pr 0.955 0.750 0.910
Nd 0.150 0.750 0.297
Nd 0.850 0.250 0.703
Mg 0.359 0.750 0.719
Mg 0.448 0.250 0.895
Mg 0.552 0.750 0.105
Mg 0.641 0.250 0.281

First-principles (GGA-PBE) data for a relaxed structure of InAg2SbSe4, as listed in the Alexandria database.

Output
Formation energy (no corrections)   -0.24 eV per atom
SG   P1
M_tot   0.0 Bohr magnetons per cell
Energy above the lowest structure with this stoichiometry   2 meV per atom

Lattice parameters (Å, degrees): 6.261 6.262 7.611 65.83 65.83 89.99
Element x y z (fractional)
In 0.000 0.000 0.000
Ag 0.500 0.500 0.000
Ag 0.750 0.250 0.500
Sb 0.250 0.750 0.500
Se 0.119 0.135 0.241
Se 0.376 0.882 0.759
Se 0.642 0.625 0.241
Se 0.865 0.358 0.760

First-principles (GGA-PBE) data for a relaxed structure of BeCoW, as listed in the Alexandria database.

Output
ΔH_f (0 K)   -18 kJ/mol of formula units
SG   P-6m2
M_tot   0.0 Bohr magnetons per cell
DOS at the Fermi energy   0.4849 states/eV/atom
Energy above the lowest structure with this stoichiometry   102 meV per atom

Lattice parameters (Å, degrees): 3.889 3.889 2.639 90.00 90.00 120.00
Element x y z (fractional)
Be 0.000 0.000 0.000
Co 0.333 0.667 0.000
W 0.667 0.333 0.500

First-principles (GGA-PBE) data for a relaxed structure of KNa2GePt, as listed in the Alexandria database.

Output
ΔH_f (0 K)   -119 kJ/mol of formula units
SG   P4/mmm
M_tot   0.0 Bohr magnetons per cell
DOS at the Fermi energy   0.3049 states/eV/atom
Energy above the lowest structure with this stoichiometry   0 meV per atom

Lattice parameters (Å, degrees): 5.600 5.600 4.743 90.00 90.00 90.00
Element x y z (fractional)
K 0.000 0.000 0.000
Na 0.000 0.500 0.500
Na 0.500 0.000 0.500
Ge 0.500 0.500 0.000
Pt 0.500 0.500 0.500

First-principles (GGA-PBE) data for a relaxed structure of LaEuSc, as listed in the Alexandria database.

Output
ΔH_f (0 K)   29 kJ/mol of formula units
SG   I4mm
M_tot   7.2 Bohr magnetons per cell
DOS at the Fermi energy   1.2178 states/eV/atom
Energy above the lowest structure with this stoichiometry   0 meV per atom

Lattice parameters (Å, degrees): 7.826 7.826 7.826 152.67 152.67 39.04
Element x y z (fractional)
La 0.000 0.000 0.000
Eu 0.689 0.689 0.000
Sc 0.352 0.352 0.000

First-principles (GGA-PBE) data for a relaxed structure of SmIn2Rh4, as listed in the Alexandria database.

Output
ΔH_f (0 K)   -150 kJ/mol of formula units
SG   I4/mmm
M_tot   0.0 Bohr magnetons per cell
DOS at the Fermi energy   0.4747 states/eV/atom

Lattice parameters (Å, degrees): 5.593 5.593 5.593 108.50 108.50 111.44
Element x y z (fractional)
Sm 0.000 0.000 0.000
In 0.000 0.500 0.500
In 0.500 0.000 0.500
Rh 0.000 0.000 0.500
Rh 0.000 0.500 0.000
Rh 0.500 0.000 0.000
Rh 0.500 0.500 0.500

First-principles (GGA-PBE) data for a relaxed structure of LiSb2Se, as listed in the Alexandria database.

Output
Formation energy (no corrections)   -0.34 eV per atom
SG   C2/m
M_tot   0.0 Bohr magnetons per cell
DOS at the Fermi energy   0.1925 states/eV/atom

Lattice parameters (Å, degrees): 7.186 7.186 4.058 105.90 105.90 32.81
Element x y z (fractional)
Li 0.000 0.000 0.000
Sb 0.285 0.285 0.285
Sb 0.715 0.715 0.715
Se 0.500 0.500 0.500

First-principles (GGA-PBE) data for a relaxed structure of Y2PuTe4, as listed in the Alexandria database.

Output
Formation energy (no corrections)   -1.28 eV per atom
SG   Cmcm
M_tot   11.4 Bohr magnetons per cell
DOS at the Fermi energy   2.6682 states/eV/atom
Energy above the lowest structure with this stoichiometry   0 meV per atom

Lattice parameters (Å, degrees): 7.481 7.481 14.951 90.00 90.00 146.39
Element x y z (fractional)
Y 0.134 0.866 0.567
Y 0.134 0.866 0.933
Y 0.866 0.134 0.067
Y 0.866 0.134 0.433
Pu 0.381 0.619 0.750
Pu 0.619 0.381 0.250
Te 0.042 0.958 0.750
Te 0.225 0.775 0.122
Te 0.225 0.775 0.378
Te 0.500 0.500 0.000
Te 0.500 0.500 0.500
Te 0.775 0.225 0.622
Te 0.775 0.225 0.878
Te 0.958 0.042 0.250

First-principles (GGA-PBE) data for a relaxed structure of LaTb6Dy3, as listed in the Alexandria database.

Output
ΔH_f (0 K)   148 kJ/mol of formula units
SG   Cmc2_1
M_tot   0.0 Bohr magnetons per cell
DOS at the Fermi energy   1.4387 states/eV/atom
Energy above the lowest structure with this stoichiometry   0 meV per atom

Lattice parameters (Å, degrees): 11.020 11.020 6.206 90.00 90.00 119.59
Element x y z (fractional)
La 0.204 0.796 0.500
La 0.796 0.204 0.000
Tb 0.040 0.461 0.727
Tb 0.045 0.955 0.271
Tb 0.284 0.716 0.994
Tb 0.289 0.380 0.891
Tb 0.380 0.289 0.391
Tb 0.461 0.040 0.227
Tb 0.539 0.960 0.727
Tb 0.620 0.711 0.891
Tb 0.711 0.620 0.391
Tb 0.716 0.284 0.494
Tb 0.955 0.045 0.771
Tb 0.960 0.539 0.227
Dy 0.064 0.284 0.320
Dy 0.284 0.064 0.820
Dy 0.389 0.611 0.432
Dy 0.611 0.389 0.932
Dy 0.716 0.936 0.320
Dy 0.936 0.716 0.820